[1]
A plane-wave DFT calculation with GGA-PBE was carried out for an optimized crystal structure of TiCoI2.

Results
For the total magnetization, the calculation gives 2.8 μB/f.u. The value obtained for the raw formation energy is 0.36 eV per atom.

Unit cell a=6.053 b=6.053 c=12.095 alpha=90.00 beta=90.00 gamma=90.00
Space group I-42d (No. 122)
Unique sites:
1 Ti 0.000 0.000 0.000 (multiplicity 4)
2 Co 0.000 0.000 0.500 (multiplicity 4)
3 I 0.215 0.250 0.625 (multiplicity 8)



[2]
A plane-wave DFT calculation with GGA-PBE was carried out for an optimized crystal structure of SrZr2Au2.

Results
For the total magnetization, the calculation gives 0.0 μB/f.u. For the formation energy, the calculation gives -160 kJ/mol of formula units.

Unit cell a=4.226 b=4.226 c=14.095 alpha=90.00 beta=90.00 gamma=90.00
Space group I4/mmm (No. 139)
Unique sites:
1 Sr 0.000 0.000 0.000 (multiplicity 2)
2 Zr 0.000 0.500 0.250 (multiplicity 4)
3 Au 0.000 0.000 0.397 (multiplicity 4)